A geometry-optimized EuPuRu2 structure, computed with PBE.

Lattice parameters (Å, degrees): 3.3573 3.3573 7.2303 90.00 90.00 90.00
With the nearest neighbours (Å) after each atom.
Sites, in units of the cell vectors:
Eu 0.0000 0.0000 0.0000  8 Ru 3.18, 4 Eu 3.36
Pu 0.0000 0.0000 0.5000  8 Ru 2.81
Ru 0.5000 0.5000 0.2921  4 Pu 2.81, 1 Ru 3.01
Ru 0.5000 0.5000 0.7079  4 Pu 2.81, 1 Ru 3.01

## Properties
**Crystal system**: tetragonal
**Symmetry**: P4/mmm, No. 123
**Energy of formation**: -0.047 eV/atom
**Energy relative to the lowest polymorph listed for this composition**: 0.000 eV per atom